This record from the Alexandria database describes BaLa2In2O7 at its PBEsol-relaxed geometry. The functional is meta-GGA SCAN.

a b c (Å): 5.923 5.923 20.689
angles (deg): 90.00 90.00 90.00
Fractional coordinates of all 48 atoms:
1 In 0.242 0.758 0.898
2 In 0.258 0.258 0.398
3 In 0.242 0.758 0.102
4 In 0.258 0.258 0.602
5 In 0.742 0.742 0.602
6 In 0.758 0.242 0.898
7 In 0.758 0.242 0.102
8 In 0.742 0.742 0.398
9 La 0.724 0.724 0.185
10 La 0.224 0.776 0.685
11 La 0.224 0.776 0.315
12 La 0.276 0.276 0.815
13 La 0.724 0.724 0.815
14 La 0.776 0.224 0.315
15 La 0.276 0.276 0.185
16 La 0.776 0.224 0.685
17 Ba 0.259 0.259 0.000
18 Ba 0.741 0.741 0.000
19 Ba 0.759 0.241 0.500
20 Ba 0.241 0.759 0.500
21 O 0.184 0.184 0.711
22 O 0.500 0.500 0.091
23 O 0.316 0.684 0.789
24 O 0.298 0.298 0.500
25 O 0.798 0.202 0.000
26 O 0.500 0.500 0.634
27 O 0.000 0.000 0.134
28 O 0.702 0.702 0.500
29 O 0.316 0.684 0.211
30 O 0.202 0.798 0.000
31 O 0.684 0.316 0.211
32 O 0.684 0.316 0.789
33 O 0.500 0.000 0.614
34 O 0.500 0.500 0.909
35 O 0.000 0.500 0.386
36 O 0.184 0.184 0.289
37 O 0.500 0.500 0.366
38 O 0.000 0.000 0.409
39 O 0.000 0.500 0.114
40 O 0.500 0.000 0.114
41 O 0.816 0.816 0.711
42 O 0.000 0.500 0.886
43 O 0.000 0.000 0.591
44 O 0.500 0.000 0.886
45 O 0.500 0.000 0.386
46 O 0.000 0.000 0.866
47 O 0.000 0.500 0.614
48 O 0.816 0.816 0.289

Results
V = 15.12 A^3/atom
crystal system = tetragonal
energy relative to the elements, uncorrected = -2.820 eV per atom
N(E_F) = 0.00 states/eV per cell

This record from the Alexandria database describes CaAg2Cl at its PBEsol-relaxed geometry. The functional is meta-GGA SCAN.

a b c (Å): 3.636 4.084 6.359
angles (deg): 108.63 106.61 90.00
Fractional coordinates of all 4 atoms:
1 Cl 0.000 0.500 0.000
2 Ag 0.247 0.247 0.495
3 Ag 0.753 0.753 0.505
4 Ca 0.500 0.000 0.000

Results
V = 21.33 A^3/atom
crystal system = monoclinic
energy relative to the elements, uncorrected = -0.761 eV per atom
excess energy over the best structure of this formula in the dataset = 10 meV/atom
N(E_F) = 1.10 states/eV per cell

This record from the Alexandria database describes LaMn2Sb at its PBEsol-relaxed geometry. The functional is meta-GGA SCAN.

a b c (Å): 4.435 4.435 5.410
angles (deg): 65.79 65.80 60.00
Fractional coordinates of all 4 atoms:
1 Sb 0.500 0.000 0.000
2 Mn 0.810 0.310 0.071
3 Mn 0.190 0.690 0.929
4 La 0.000 0.500 0.500

Results
V = 20.29 A^3/atom
crystal system = trigonal
energy relative to the elements, uncorrected = -0.202 eV per atom
N(E_F) = 3.42 states/eV per cell